{
  "formula": "CuSnN2O",
  "functional": "PBE",
  "state": "relaxed",
  "cell": [[-3.593, -0.367, -1.275], [-1.042, -1.496, 3.368], [-0.816, 3.486, 1.296]],
  "species": ["Sn", "N", "N", "Cu", "O"],
  "frac_coords": [[0.500, 0.500, 0.500], [0.500, 0.000, 0.000], [0.000, 0.500, 0.000], [0.000, 0.000, 0.000], [0.000, 0.000, 0.500]],
  "total_magnetization_mub_per_cell": 0.0,
  "e_form_raw_mev_per_atom": 970.8
}